Entry 1:
Na8LiBi2: relaxed, PBE-GGA.

For the energy of formation from the pure elements, the calculation gives -177 meV/atom.

The structure belongs to space group C2/m (No. 12); the cell edges are 14.829, 9.638 and 6.178 Å and the angles 90.00°, 112.74° and 90.00°. The asymmetric unit holds Na at (0.104, 0.000, 0.421), Na at (0.127, 0.193, 0.947), Na at (0.143, 0.500, 0.559), Li at (0.000, 0.500, 0.000) and Bi at (0.200, 0.500, 0.111).

Entry 2:
Na2LiBi2: relaxed, PBE-GGA.

For the energy above the most stable polymorph in this dataset, the calculation gives 15 meV per atom. For the energy of formation from the pure elements, the calculation gives -317 meV/atom.

The structure belongs to space group P-1 (No. 2); the cell edges are 4.905, 6.498 and 10.255 Å and the angles 80.76°, 76.18° and 68.07°. The asymmetric unit holds Na at (0.001, 0.331, 0.167), Na at (0.181, 0.728, 0.409), Li at (0.272, 0.084, 0.864), Bi at (0.362, 0.711, 0.073) and Bi at (0.482, 0.160, 0.375).

Entry 3:
Na3Li2Bi3: relaxed, PBE-GGA.

For the energy of formation from the pure elements, the calculation gives -362 meV/atom.

The structure belongs to space group C2/m (No. 12); the cell edges are 17.117, 5.013 and 4.998 Å and the angles 90.00°, 106.91° and 90.00°. The asymmetric unit holds Na at (0.000, 0.000, 0.000), Na at (0.134, 0.000, 0.634), Li at (0.246, 0.000, 0.246), Bi at (0.000, 0.500, 0.500) and Bi at (0.147, 0.500, 0.148).

Entry 4:
NaLi2Bi2: relaxed, PBE-GGA.

For the energy above the most stable polymorph in this dataset, the calculation gives 72 meV per atom. For the energy of formation from the pure elements, the calculation gives -308 meV/atom.

The structure belongs to space group Cmmm (No. 65); the cell edges are 4.936, 7.753 and 7.081 Å and the angles 90.00°, 90.00° and 90.00°. The asymmetric unit holds Na at (0.000, 0.000, 0.000), Li at (0.000, 0.168, 0.500) and Bi at (0.000, 0.500, 0.285).

energy of formation from the pure elements of number 3 (Na3Li2Bi3)? -362 meV/atom

Copy entry 1 word for word.
Na8LiBi2: relaxed, PBE-GGA.

For the energy of formation from the pure elements, the calculation gives -177 meV/atom.

The structure belongs to space group C2/m (No. 12); the cell edges are 14.829, 9.638 and 6.178 Å and the angles 90.00°, 112.74° and 90.00°. The asymmetric unit holds Na at (0.104, 0.000, 0.421), Na at (0.127, 0.193, 0.947), Na at (0.143, 0.500, 0.559), Li at (0.000, 0.500, 0.000) and Bi at (0.200, 0.500, 0.111).

Which value of energy of formation from the pure elements does entry 2 give? -317 meV/atom

The lowest energy of formation from the pure elements belongs to which entry? Na3Li2Bi3